{
  "formula": "CeY2Cr2C4",
  "functional": "PBE",
  "state": "optimized geometry",
  "e_form_ev_per_fu": -0.7,
  "lattice_angstrom": [[3.429, 0.000, 0.000], [-1.714, 6.592, 0.046], [0.000, -2.250, 5.589]],
  "species": ["C", "C", "Y", "Cr", "Ce", "C", "Y", "Cr", "C"],
  "fractional_positions": [[0.782, 0.563, 0.814], [0.218, 0.437, 0.186], [0.865, 0.731, 0.459], [0.320, 0.640, 0.016], [0.000, 0.000, 0.000], [0.461, 0.922, 0.260], [0.135, 0.269, 0.541], [0.680, 0.360, 0.984], [0.539, 0.078, 0.740]]
}